No. 1
VASP calculation (PBE) on crystalline Pm2BeP3Pt4 at its relaxed geometry.

CIF file:
```
data_Pm2BeP3Pt4
_space_group_name_H-M_alt 'P -4 m 2'
_space_group_IT_number 115
_cell_length_a 4.1940
_cell_length_b 4.1940
_cell_length_c 9.7036
_cell_angle_alpha 90.00
_cell_angle_beta 90.00
_cell_angle_gamma 90.00
loop_
_space_group_symop_operation_xyz
'x,y,z'
'y,-x,-z'
'-x,-y,z'
'-y,x,-z'
'-x,y,z'
'-y,-x,-z'
'x,-y,z'
'y,x,-z'
loop_
_atom_site_label
_atom_site_fract_x
_atom_site_fract_y
_atom_site_fract_z
Pm1 0.0000 0.5000 0.2463
Be1 0.5000 0.5000 0.0000
P1 0.0000 0.0000 0.0000
P2 0.0000 0.5000 0.6405
Pt1 0.0000 0.0000 0.5000
Pt2 0.0000 0.5000 0.8854
Pt3 0.5000 0.5000 0.5000
```

## Properties
E in eV per atom: -6.358
DFT formation energy in eV per atom: -0.9964

No. 2
VASP calculation (PBE) on crystalline NdErTmSc at its relaxed geometry.

CIF file:
```
data_NdErTmSc
_space_group_name_H-M_alt 'R 3 m'
_space_group_IT_number 160
_space_group_name_Hall 'R 3 -2"'
_cell_length_a 3.5118
_cell_length_b 3.5118
_cell_length_c 33.7155
_cell_angle_alpha 90.00
_cell_angle_beta 90.00
_cell_angle_gamma 120.00
loop_
_atom_site_label
_atom_site_fract_x
_atom_site_fract_y
_atom_site_fract_z
Nd1 0.0000 0.0000 0.0000
Er1 0.0000 0.0000 0.1708
Tm1 0.0000 0.0000 0.7541
Sc1 0.0000 0.0000 0.5836
```

## Properties
E in eV per atom: -4.977
Energy above the most stable polymorph in this dataset in eV per formula unit: 0.00
DFT formation energy in eV per atom: 0.0565

No. 3
VASP calculation (PBE) on crystalline TaSb2As at its relaxed geometry.

CIF file:
```
data_TaSb2As
_space_group_name_H-M_alt 'C m m m'
_space_group_IT_number 65
_space_group_name_Hall '-C 2 2'
_cell_length_a 3.8096
_cell_length_b 4.7930
_cell_length_c 10.0079
_cell_angle_alpha 90.00
_cell_angle_beta 90.00
_cell_angle_gamma 90.00
loop_
_atom_site_label
_atom_site_fract_x
_atom_site_fract_y
_atom_site_fract_z
Ta1 0.0000 0.0000 0.0000
Sb1 0.0000 0.5000 0.2205
As1 0.0000 0.0000 0.5000
```

## Properties
E in eV per atom: -5.852
Energy relative to the elements, uncorrected in meV per atom: 335

No. 4
VASP calculation (PBE) on crystalline KH2W at its relaxed geometry.

CIF file:
```
data_KH2W
_space_group_name_H-M_alt 'I -4 2 d'
_space_group_IT_number 122
_space_group_name_Hall 'I -4 2bw'
_cell_length_a 5.4039
_cell_length_b 5.4039
_cell_length_c 7.3647
_cell_angle_alpha 90.00
_cell_angle_beta 90.00
_cell_angle_gamma 90.00
loop_
_atom_site_label
_atom_site_fract_x
_atom_site_fract_y
_atom_site_fract_z
K1 0.0000 0.0000 0.0000
H1 0.1539 0.7500 0.6250
W1 0.0000 0.0000 0.5000
```

## Properties
E in eV per atom: -4.479
Energy above the most stable polymorph in this dataset in eV per formula unit: 0.00

No. 5
VASP calculation (PBE) on crystalline NaGe2B2 at its relaxed geometry.

CIF file:
```
data_NaGe2B2
_space_group_name_H-M_alt 'P 4/m b m'
_space_group_IT_number 127
_space_group_name_Hall '-P 4 2ab'
_cell_length_a 7.3197
_cell_length_b 7.3197
_cell_length_c 3.1834
_cell_angle_alpha 90.00
_cell_angle_beta 90.00
_cell_angle_gamma 90.00
loop_
_atom_site_label
_atom_site_fract_x
_atom_site_fract_y
_atom_site_fract_z
Na1 0.0000 0.0000 0.0000
Ge1 0.1349 0.3651 0.0000
B1 0.0835 0.5835 0.5000
```

## Properties
E in eV per atom: -3.937
Energy above the most stable polymorph in this dataset in eV per formula unit: 1.39
DFT formation energy in eV per atom: 0.8449

No. 6
VASP calculation (PBE) on crystalline Cd12Pb2Au7 at its relaxed geometry.

CIF file:
```
data_Cd12Pb2Au7
_space_group_name_H-M_alt 'P -6'
_space_group_IT_number 174
_cell_length_a 12.1190
_cell_length_b 12.1190
_cell_length_c 3.6416
_cell_angle_alpha 90.00
_cell_angle_beta 90.00
_cell_angle_gamma 120.00
loop_
_space_group_symop_operation_xyz
'x,y,z'
'-x+y,-x,-z'
'-y,x-y,z'
'x,y,-z'
'-x+y,-x,z'
'-y,x-y,-z'
loop_
_atom_site_label
_atom_site_fract_x
_atom_site_fract_y
_atom_site_fract_z
Cd1 0.0532 0.2735 0.0000
Cd2 0.1110 0.7148 0.5000
Cd3 0.4039 0.1620 0.5000
Cd4 0.5167 0.4114 0.0000
Pb1 0.0000 0.0000 0.5000
Pb2 0.3333 0.6667 0.0000
Au1 0.0900 0.4756 0.5000
Au2 0.2370 0.1913 0.0000
Au3 0.6667 0.3333 0.5000
```

## Properties
E in eV per atom: -2.100
DFT formation energy in eV per atom: -0.1313